# VCdPt

VCdPt after structural relaxation (PBE, the Alexandria database).

Geometry as POSCAR:
```
VCdPt
1.0
2.834 0.000 0.000
0.000 2.834 0.000
-1.417 -1.417 6.121
Pt V Cd
1 1 1
direct
0.319 0.319 0.638
0.680 0.680 0.360
0.001 0.001 0.002
```

Results
Energy of formation from the pure elements ... -173 meV/atom
Spin magnetization ... 0.01 Bohr magnetons per cell
Energy ... -0.407 Ry per atom
N(E_F) ... 1.01 states/eV/atom